Material: Cs2NdCo3F12
Method: DFT, GGA+U
State: relaxed

a b c (Å): 7.592 7.592 7.592
angles (deg): 60.27 60.27 60.27
Sites, in units of the cell vectors:
Cs1 0.112 0.112 0.112
Cs2 0.888 0.888 0.888
Nd1 0.500 0.500 0.500
Co1 0.000 0.500 0.500
Co2 0.500 0.000 0.500
Co3 0.500 0.500 0.000
F1 0.132 0.598 0.598
F2 0.205 0.205 0.587
F3 0.205 0.587 0.205
F4 0.402 0.402 0.868
F5 0.402 0.868 0.402
F6 0.413 0.795 0.795
F7 0.587 0.205 0.205
F8 0.598 0.132 0.598
F9 0.598 0.598 0.132
F10 0.795 0.413 0.795
F11 0.795 0.795 0.413
F12 0.868 0.402 0.402

- Size of the total moment: 10.00 μB per formula unit
- SG: R-3m, No. 166
- DOS at the Fermi energy: 11.09 states/eV per cell
- DFT total energy: -5.143 eV per atom